A plane-wave DFT calculation with PBE with a Hubbard U was carried out for a relaxed SrFePF crystal.

Computed properties:
Its offset from the most stable computed form is 0.0 kJ/mol of atoms. Its total energy is -5.208 eV per atom. Its crystal system is triclinic. As for the volume: 20.69 Å³/atom.

```
SrFePF
1.0
4.1594 0.0000 0.0000
2.0768 3.6527 0.0000
0.0107 0.0962 5.4485
Sr Fe P F
1 1 1 1
Cartesian
0.0000 0.0000 0.0000
2.0878 1.2483 2.8615
4.1674 2.5081 3.3721
2.0793 1.2241 0.6898
```